Record 1
This record from Alexandria via LeMat-Bulk describes a geometry-optimized AcAsF structure. The functional is PBE.

Values from the calculation:
Its raw formation energy is -2214 meV/atom. The calculation puts the total magnetic moment at 0.0000 μB per atom.

Unit cell a=4.3014 b=4.3014 c=4.6131 alpha=90.00 beta=90.00 gamma=120.00
Last column: nearest neighbours and their distance in Å.
Space group P-6m2 (No. 187)
Asymmetric unit:
1 Ac 0.0000 0.0000 0.0000 (multiplicity 1)  3 F 2.48
2 As 0.6667 0.3333 0.5000 (multiplicity 1)  6 Ac 3.39, 6 F 3.39
3 F 0.3333 0.6667 0.0000 (multiplicity 1)  3 Ac 2.48


Record 2
This record from Alexandria via LeMat-Bulk describes a geometry-optimized Dy4IrSe2 structure. The functional is PBE.

Values from the calculation:
Its raw formation energy is -1259 meV/atom. The calculation puts the total magnetic moment at 0.0000 μB per atom.

Unit cell a=3.8510 b=13.1715 c=14.1127 alpha=90.00 beta=90.00 gamma=90.00
Last column: nearest neighbours and their distance in Å.
Space group Cmcm (No. 63)
Asymmetric unit:
1 Dy 0.0000 0.0000 0.0000 (multiplicity 4)  4 Se 2.83
2 Dy 0.0000 0.2951 0.1295 (multiplicity 8)  3 Se 2.87-2.94, 2 Ir 2.88
3 Dy 0.0000 0.4527 0.7500 (multiplicity 4)  2 Ir 2.78, 2 Se 2.89
4 Ir 0.0000 0.1053 0.7500 (multiplicity 4)  6 Dy 2.78-2.88
5 Se 0.0000 0.3584 0.5654 (multiplicity 8)  6 Dy 2.83-2.94


What is the raw formation energy in the first record?
-2214 meV/atom


Number 2 is which compound?
Dy4IrSe2


What is the raw formation energy in the first record?
-2214 meV/atom